A) # Ga3TcGe, relaxed, DFT GGA-PBE
data_Ga3TcGe
_chemical_formula_sum 'Ga3 Tc1 Ge1'
_symmetry_space_group_name_H-M 'P m -3 m'
_symmetry_Int_Tables_number 221
_symmetry_space_group_name_Hall '-P 4 2 3'
_cell_length_a 4.821
_cell_length_b 4.821
_cell_length_c 4.821
_cell_angle_alpha 90.00
_cell_angle_beta 90.00
_cell_angle_gamma 90.00
loop_
_atom_site_label
_atom_site_type_symbol
_atom_site_fract_x
_atom_site_fract_y
_atom_site_fract_z
Ga1 Ga 0.000 0.000 0.500
Tc1 Tc 0.000 0.000 0.000
Ge1 Ge 0.500 0.500 0.500
# Volume   22.41 A^3/atom

B) # Ga3TcGe, relaxed, DFT GGA-PBE
data_Ga3TcGe
_chemical_formula_sum 'Ga3 Tc1 Ge1'
_symmetry_space_group_name_H-M 'P m -3 m'
_symmetry_Int_Tables_number 221
_symmetry_space_group_name_Hall '-P 4 2 3'
_cell_length_a 4.856
_cell_length_b 4.856
_cell_length_c 4.856
_cell_angle_alpha 90.00
_cell_angle_beta 90.00
_cell_angle_gamma 90.00
loop_
_atom_site_label
_atom_site_type_symbol
_atom_site_fract_x
_atom_site_fract_y
_atom_site_fract_z
Ga1 Ga 0.000 0.000 0.500
Tc1 Tc 0.500 0.500 0.500
Ge1 Ge 0.000 0.000 0.000
# Volume   22.91 A^3/atom

C) # Ga3TcGe, relaxed, DFT GGA-PBE
data_Ga3TcGe
_chemical_formula_sum 'Ga6 Tc2 Ge2'
_symmetry_space_group_name_H-M 'P 63/m m c'
_symmetry_Int_Tables_number 194
_symmetry_space_group_name_Hall '-P 6c 2c'
_cell_length_a 6.4676
_cell_length_b 6.4676
_cell_length_c 5.2378
_cell_angle_alpha 90.00
_cell_angle_beta 90.00
_cell_angle_gamma 120.00
loop_
_atom_site_label
_atom_site_type_symbol
_atom_site_fract_x
_atom_site_fract_y
_atom_site_fract_z
Ga1 Ga 0.1964 0.3927 0.2500
Tc1 Tc 0.0000 0.0000 0.0000
Ge1 Ge 0.3333 0.6667 0.7500
# Volume   18.98 A^3/atom

Which structure is the most stable? The one labeled C).